Computed, not measured: a relaxed Co2Rh2F crystal at the GGA+U level of DFT.

a = 6.920 Å, b = 6.920 Å, c = 2.978 Å
α = 90.00°, β = 90.00°, γ = 90.00°
Fractional positions:
Co  0.155  0.345  0.000
Co  0.345  0.845  0.000
Co  0.655  0.155  0.000
Co  0.845  0.655  0.000
Rh  0.143  0.643  0.500
Rh  0.357  0.143  0.500
Rh  0.643  0.857  0.500
Rh  0.857  0.357  0.500
F  0.000  0.000  0.500
F  0.500  0.500  0.500

**D(E_F)**: 4.02 states/eV/f.u.
**Relative energy among the computed polymorphs**: 0 meV per atom